Compound: Ac2TbGe
Source: Alexandria via LeMat-Bulk
Functional: GGA-PBE
Structure: relaxed

Lattice parameters (Å, degrees): 4.8621 5.1322 5.1322 90.00 90.00 90.00
Element x y z (fractional)
Ac 0.0000 0.0000 0.5000
Ac 0.0000 0.5000 0.0000
Ge 0.5000 0.0000 0.0000
Tb 0.5000 0.5000 0.5000

## Properties
Total magnetic moment (μB per atom): 0.0000
Symmetry: P4/mmm (123)
Relative energy among the computed polymorphs (meV per atom): 0
ΔH_f (0 K) (eV per atom): -0.191